(1)
Computed, not measured: a geometry-optimized TlPW structure at the GGA-PBEsol level of DFT.

Values from the calculation:
For the distance to the lowest polymorph of the same formula, the calculation gives 79 meV/atom. The value obtained for the energy of formation is 504 meV per atom. The calculation puts the final energy at -20.72 eV per cell.

Cell lengths 7.5912, 7.3795, 2.9419 Å; angles 82.74, 74.65, 22.61 degrees
Fractional coordinates of all 3 atoms:
Tl 0.0000 0.0000 0.0000
P 0.7052 0.7052 0.2948
W 0.3215 0.3215 0.6785

***

(2)
Computed, not measured: a geometry-optimized TlPW structure at the GGA-PBEsol level of DFT.

Values from the calculation:
For the distance to the lowest polymorph of the same formula, the calculation gives 0 meV/atom. The value obtained for the energy of formation is 425 meV per atom. The calculation puts the final energy at -20.95 eV per cell.

Cell lengths 4.1025, 4.1025, 3.7661 Å; angles 90.00, 90.00, 120.00 degrees
Fractional coordinates of all 3 atoms:
Tl 0.0000 0.0000 0.0000
P 0.3333 0.6667 0.5000
W 0.6667 0.3333 0.5000

***

Question: Among the records above, which one has the lowest energy of formation?
Answer: number 2